[1]
VASP calculation (PBE-GGA) on a relaxed ReSbAu2 crystal.

a = 2.8316 Å, b = 4.0839 Å, c = 6.6164 Å
α = 90.00°, β = 90.00°, γ = 90.00°
Closest atoms and distances in Å follow each position.
Space group Pmmm (No. 47)
One atom of each set of equivalent atoms:
Re (0.0000, 0.0000, 0.0000) (multiplicity 1)  2 Re 2.83, 8 Au 2.87
Sb (0.0000, 0.0000, 0.5000) (multiplicity 1)  2 Sb 2.83, 8 Au 3.11
Au (0.5000, 0.5000, 0.2178) (multiplicity 2)  3 Au 2.83-2.88, 4 Re 2.87, 4 Sb 3.11

Output
Spin magnetization = 0.060 μB per atom
Uncorrected formation energy = 0.597 eV/atom
DOS(E_F) = 0.72 states/eV/atom

***

[2]
VASP calculation (PBE-GGA) on a relaxed ZrAsBr crystal.

a = 3.4025 Å, b = 3.4327 Å, c = 13.1580 Å
α = 90.00°, β = 90.00°, γ = 90.00°
Closest atoms and distances in Å follow each position.
Space group Imm2 (No. 44)
One atom of each set of equivalent atoms:
Zr (0.0000, 0.0000, 0.0000) (multiplicity 2)  4 As 2.76
As (0.0000, 0.0000, 0.6013) (multiplicity 2)  4 Zr 2.76
Br (0.0000, 0.0000, 0.3529) (multiplicity 2)  4 Zr 3.10, 1 As 3.27, 4 Br 3.40-3.43

Output
Spin magnetization = 0.000 μB per atom
Uncorrected formation energy = -0.660 eV/atom
DOS(E_F) = 0.44 states/eV/atom
E above lowest polymorph = 72 kJ/mol of formula units

***

[3]
VASP calculation (PBE-GGA) on a relaxed K3Sn2Bi3 crystal.

a = 5.6509 Å, b = 12.9764 Å, c = 16.0633 Å
α = 90.00°, β = 90.00°, γ = 90.00°
Closest atoms and distances in Å follow each position.
Space group Cmcm (No. 63)
One atom of each set of equivalent atoms:
K (0.0000, 0.0238, 0.2500) (multiplicity 4)  7 Bi 3.73-3.91, 6 Sn 4.06-4.17
K (0.0000, 0.1454, 0.5204) (multiplicity 8)  3 Sn 3.64, 5 Bi 3.70-4.02, 3 K 3.83-3.97
Sn (0.0000, 0.3162, 0.1595) (multiplicity 8)  1 Sn 2.91, 1 Bi 2.99
Bi (0.0000, 0.2680, 0.7500) (multiplicity 4)  4 Sn 3.36, 2 Bi 3.54
Bi (0.0000, 0.4661, 0.5985) (multiplicity 8)  1 Sn 2.99, 1 Bi 3.28

Output
Energy of formation from the pure elements = -0.2387 eV/atom
Spin magnetization = 0.000 μB per atom
DOS(E_F) = 0.27 states/eV/atom

***

Calculated volume (Å³ per cell), listed in the same order as above: 77; 154; 1178